(1)
# PBE Pm6Nd3Ho2Er, relaxed
# - energy of formation from the pure elements (eV per formula unit) = 0.19
# - Fermi-level density of states (states/eV/atom) = 1.356
# - calculated volume (Å³ per cell) = 808
data_Pm6Nd3Ho2Er
_chemical_formula_sum 'Pm12 Nd6 Ho4 Er2'
_symmetry_space_group_name_H-M 'C 1 2/m 1'
_symmetry_Int_Tables_number 12
_symmetry_space_group_name_Hall '-C 2y'
_cell_length_a 6.287
_cell_length_b 10.891
_cell_length_c 11.987
_cell_angle_alpha 90.00
_cell_angle_beta 100.07
_cell_angle_gamma 90.00
loop_
_atom_site_label
_atom_site_fract_x
_atom_site_fract_y
_atom_site_fract_z
Pm1 0.249 0.000 0.245
Pm2 0.249 0.333 0.245
Nd1 0.000 0.000 0.500
Nd2 0.000 0.333 0.500
Ho1 0.000 0.167 0.000
Er1 0.000 0.500 0.000

(2)
# PBE V2FeIrRh, relaxed
# - energy of formation from the pure elements (eV per formula unit) = 6.12
# - Fermi-level density of states (states/eV/atom) = 1.375
# - calculated volume (Å³ per cell) = 89
data_V2FeIrRh
_chemical_formula_sum 'V2 Fe1 Ir1 Rh1'
_symmetry_space_group_name_H-M 'P 4/m m m'
_symmetry_Int_Tables_number 123
_symmetry_space_group_name_Hall '-P 4 2'
_cell_length_a 4.442
_cell_length_b 4.442
_cell_length_c 4.500
_cell_angle_alpha 90.00
_cell_angle_beta 90.00
_cell_angle_gamma 90.00
loop_
_atom_site_label
_atom_site_fract_x
_atom_site_fract_y
_atom_site_fract_z
V1 0.000 0.500 0.000
Fe1 0.000 0.000 0.500
Ir1 0.500 0.500 0.500
Rh1 0.000 0.000 0.000